Entry 1:
The following is a DFT calculation (PBE) of a relaxed Ho4Ni3Ge12 crystal.

Unit cell a=4.0499 b=4.0711 c=21.5394 alpha=90.00 beta=90.00 gamma=90.00
Atoms (fractional coordinates):
Ni 0.5000 0.0000 0.6111
Ge 0.5000 0.0000 0.0642
Ge 0.5000 0.0000 0.2791
Ho 0.5000 0.5000 0.8353
Ge 0.0000 0.5000 0.0635
Ge 0.0000 0.0000 0.4405
Ge 0.5000 0.0000 0.9477
Ge 0.5000 0.5000 0.5562
Ge 0.5000 0.0000 0.7174
Ho 0.0000 0.5000 0.3272
Ge 0.0000 0.0000 0.5563
Ho 0.5000 0.5000 0.1661
Ni 0.0000 0.0000 0.8913
Ge 0.0000 0.0000 0.2052
Ho 0.0000 0.5000 0.6687
Ge 0.0000 0.0000 0.7856
Ge 0.0000 0.5000 0.9477
Ge 0.5000 0.5000 0.4407
Ni 0.5000 0.0000 0.3862

Values from the calculation:
* space group: Pmm2, No. 25
* crystal system: orthorhombic
* E_tot: -101.37 eV for the cell shown

=====

Entry 2:
The following is a DFT calculation (PBE) of a relaxed Ho4Ni3Ge crystal.

Unit cell a=3.9095 b=4.0860 c=10.3140 alpha=90.00 beta=90.00 gamma=90.00
Atoms (fractional coordinates):
Ni 0.0000 0.5000 0.5692
Ho 0.0000 0.5000 0.8535
Ho 0.5000 0.0000 0.6406
Ge 0.5000 0.5000 0.0721
Ni 0.5000 0.0000 0.9241
Ho 0.5000 0.5000 0.3663
Ni 0.0000 0.0000 0.4309
Ho 0.0000 0.0000 0.1433

Values from the calculation:
* space group: Pmm2, No. 25
* crystal system: orthorhombic
* E_tot: -44.77 eV for the cell shown

=====

Entry 3:
The following is a DFT calculation (PBE) of a relaxed HoNi4Ge2 crystal.

Unit cell a=4.0320 b=4.0320 c=7.6203 alpha=74.66 beta=74.66 gamma=60.00
Atoms (fractional coordinates):
Ni 0.1413 0.1413 0.5762
Ho 0.0000 0.0000 0.0000
Ni 0.5613 0.5613 0.3160
Ge 0.7504 0.7504 0.7487
Ni 0.4387 0.4387 0.6840
Ni 0.8587 0.8587 0.4238
Ge 0.2496 0.2496 0.2513

Values from the calculation:
* space group: R-3m, No. 166
* crystal system: trigonal
* E_tot: -40.28 eV for the cell shown

=====

Entry 4:
The following is a DFT calculation (PBE) of a relaxed Ho8Ni2Ge crystal.

Unit cell a=5.8736 b=7.4773 c=7.4773 alpha=113.39 beta=98.84 gamma=98.84
Atoms (fractional coordinates):
Ho 0.8026 0.6387 0.6387
Ho 0.1851 0.3803 0.3803
Ni 0.4987 0.6950 0.3143
Ni 0.4987 0.3143 0.6950
Ho 0.5820 0.0771 0.3391
Ho 0.5820 0.3391 0.0771
Ho 0.3721 0.9254 0.6582
Ho 0.9828 0.7717 0.2258
Ge 0.1408 0.0082 0.0082
Ho 0.3721 0.6582 0.9254
Ho 0.9828 0.2258 0.7717

Values from the calculation:
* space group: Cm, No. 8
* crystal system: monoclinic
* E_tot: -55.13 eV for the cell shown

=====

Entry 5:
The following is a DFT calculation (PBE) of a relaxed Ho2NiGe crystal.

Unit cell a=3.4148 b=3.4148 c=7.1050 alpha=90.00 beta=90.00 gamma=90.00
Atoms (fractional coordinates):
Ho 0.0000 0.0000 0.7662
Ge 0.5000 0.5000 0.5000
Ni 0.5000 0.5000 0.0000
Ho 0.0000 0.0000 0.2338

Values from the calculation:
* space group: P4/mmm, No. 123
* crystal system: tetragonal
* E_tot: -21.71 eV for the cell shown

=====

Entry 6:
The following is a DFT calculation (PBE) of a relaxed HoNiGe2 crystal.

Unit cell a=4.1645 b=8.5156 c=9.2804 alpha=117.31 beta=102.97 gamma=90.00
Atoms (fractional coordinates):
Ge 0.3042 0.9616 0.6084
Ge 0.9201 0.9201 0.8401
Ni 0.1479 0.8970 0.2958
Ge 0.6958 0.0384 0.3916
Ho 0.5000 0.2598 0.0000
Ni 0.8521 0.1030 0.7042
Ge 0.6958 0.3531 0.3916
Ge 0.9229 0.4229 0.8459
Ge 0.0771 0.5771 0.1541
Ni 0.1479 0.3988 0.2958
Ge 0.3042 0.6469 0.6084
Ho 0.2958 0.2958 0.5915
Ni 0.8521 0.6012 0.7042
Ho 0.5000 0.7402 0.0000
Ho 0.7042 0.7042 0.4085
Ge 0.0799 0.0799 0.1599

Values from the calculation:
* space group: Immm, No. 71
* crystal system: orthorhombic
* E_tot: -89.59 eV for the cell shown

=====

Entry 7:
The following is a DFT calculation (PBE) of a relaxed HoNi3Ge crystal.

Unit cell a=4.9068 b=8.0008 c=6.1943 alpha=130.23 beta=113.33 gamma=90.00
Atoms (fractional coordinates):
Ni 0.2542 0.7542 0.0084
Ho 0.2500 0.2862 0.5000
Ni 0.7542 0.7542 0.0084
Ni 0.7458 0.2458 0.9916
Ni 0.2458 0.2458 0.9916
Ho 0.7500 0.7138 0.5000
Ni 0.2500 0.9181 0.5000
Ge 0.5000 0.0000 0.0000
Ge 0.0000 0.5000 0.0000
Ni 0.7500 0.0819 0.5000

Values from the calculation:
* space group: Imma, No. 74
* crystal system: orthorhombic
* E_tot: -57.39 eV for the cell shown

=====

Entry 8:
The following is a DFT calculation (PBE) of a relaxed HoNiGe crystal.

Unit cell a=4.2320 b=7.2485 c=13.8552 alpha=90.00 beta=90.00 gamma=90.00
Atoms (fractional coordinates):
Ge 0.5000 0.4097 0.3521
Ho 0.5000 0.7067 0.5000
Ni 0.5000 0.0792 0.3924
Ge 0.5000 0.0881 0.8985
Ho 0.5000 0.7131 0.0000
Ni 0.5000 0.4187 0.8450
Ge 0.5000 0.4097 0.6479
Ni 0.0000 0.9208 0.1076
Ge 0.0000 0.5903 0.1479
Ni 0.5000 0.4187 0.1550
Ho 0.0000 0.2129 0.2468
Ge 0.0000 0.5903 0.8521
Ge 0.0000 0.9119 0.3985
Ni 0.0000 0.5813 0.6550
Ho 0.0000 0.2129 0.7532
Ni 0.5000 0.0792 0.6076
Ni 0.0000 0.5813 0.3450
Ge 0.5000 0.0881 0.1015
Ho 0.5000 0.7871 0.2532
Ho 0.5000 0.7871 0.7468
Ni 0.0000 0.9208 0.8924
Ho 0.0000 0.2933 0.0000
Ho 0.0000 0.2869 0.5000
Ge 0.0000 0.9119 0.6015

Values from the calculation:
* space group: Pmmn, No. 59
* crystal system: orthorhombic
* E_tot: -138.93 eV for the cell shown

=====

Entry 9:
The following is a DFT calculation (PBE) of a relaxed Ho2NiGe6 crystal.

Unit cell a=10.8646 b=10.8646 c=4.0550 alpha=90.00 beta=90.00 gamma=158.76
Atoms (fractional coordinates):
Ge 0.3932 0.6068 0.0000
Ge 0.5360 0.4640 0.5000
Ni 0.2184 0.7816 0.5000
Ho 0.9978 0.0022 0.0000
Ge 0.8945 0.1055 0.5000
Ge 0.7760 0.2240 0.5000
Ge 0.2755 0.7245 0.0000
Ge 0.1106 0.8894 0.5000
Ho 0.6601 0.3399 0.0000

Values from the calculation:
* space group: Amm2, No. 38
* crystal system: orthorhombic
* E_tot: -47.24 eV for the cell shown

=====

Entry 10:
The following is a DFT calculation (PBE) of a relaxed HoNi5Ge3 crystal.

Unit cell a=3.7148 b=6.3362 c=11.7483 alpha=90.00 beta=90.00 gamma=107.05
Atoms (fractional coordinates):
Ni 0.1943 0.3886 0.5663
Ni 0.5509 0.1018 0.6443
Ni 0.8057 0.6114 0.4337
Ge 0.1159 0.2319 0.7500
Ge 0.6197 0.2394 0.0467
Ho 0.1539 0.3078 0.2500
Ni 0.8057 0.6114 0.0663
Ni 0.1943 0.3886 0.9337
Ni 0.5509 0.1018 0.8557
Ni 0.0000 0.0000 0.5000
Ni 0.0000 0.0000 0.0000
Ge 0.3803 0.7605 0.9533
Ni 0.4491 0.8982 0.3557
Ge 0.6197 0.2394 0.4533
Ge 0.8841 0.7681 0.2500
Ge 0.3803 0.7605 0.5467
Ni 0.4491 0.8982 0.1443
Ho 0.8461 0.6922 0.7500

Values from the calculation:
* space group: Cmcm, No. 63
* crystal system: orthorhombic
* E_tot: -103.07 eV for the cell shown

=====

Entry 11:
The following is a DFT calculation (PBE) of a relaxed Ho2Ni2Ge3 crystal.

Unit cell a=4.1278 b=6.7164 c=9.1081 alpha=90.00 beta=103.10 gamma=90.00
Atoms (fractional coordinates):
Ni 0.6981 0.5541 0.3962
Ge 0.4325 0.5592 0.8650
Ge 0.4325 0.9408 0.8650
Ge 0.5675 0.0592 0.1350
Ho 0.1593 0.2500 0.3186
Ge 0.2215 0.7500 0.4430
Ho 0.0504 0.7500 0.1008
Ho 0.9496 0.2500 0.8992
Ni 0.3019 0.4459 0.6038
Ni 0.3019 0.0541 0.6038
Ho 0.8407 0.7500 0.6814
Ge 0.7785 0.2500 0.5570
Ni 0.6981 0.9459 0.3962
Ge 0.5675 0.4408 0.1350

Values from the calculation:
* space group: Cmcm, No. 63
* crystal system: orthorhombic
* E_tot: -79.35 eV for the cell shown

=====

Entry 12:
The following is a DFT calculation (PBE) of a relaxed HoNi4Ge crystal.

Unit cell a=3.7094 b=6.2320 c=7.6017 alpha=90.00 beta=104.12 gamma=90.00
Atoms (fractional coordinates):
Ho 0.8989 0.7500 0.7977
Ge 0.2382 0.7500 0.4765
Ho 0.1011 0.2500 0.2023
Ge 0.7618 0.2500 0.5235
Ni 0.0792 0.7500 0.1585
Ni 0.6721 0.5571 0.3443
Ni 0.5000 0.5000 0.0000
Ni 0.3279 0.0571 0.6557
Ni 0.5000 0.0000 0.0000
Ni 0.3279 0.4429 0.6557
Ni 0.6721 0.9429 0.3443
Ni 0.9208 0.2500 0.8415

Values from the calculation:
* space group: Cmcm, No. 63
* crystal system: orthorhombic
* E_tot: -68.99 eV for the cell shown

=====

Number 1: V 355 Å³/cell. Number 2: V 165 Å³/cell. Number 3: V 102 Å³/cell. Number 4: V 289 Å³/cell. Number 5: V 83 Å³/cell. Number 6: V 283 Å³/cell. Number 7: V 159 Å³/cell. Number 8: V 425 Å³/cell. Number 9: V 173 Å³/cell. Number 10: V 264 Å³/cell. Number 11: V 246 Å³/cell. Number 12: V 170 Å³/cell.